Run one
# Sr2NiI

Crystalline Sr2NiI at its relaxed geometry (PBE-GGA, Alexandria).

```
4
Lattice="2.172 1.254 8.336 -2.172 1.254 8.336 0.000 -2.508 8.336" Properties=species:S:1:pos:R:3 pbc="T T T"
Sr 0.000 0.000 0.000
Sr 0.000 0.000 5.064
Ni 0.000 0.000 15.040
I 0.000 0.000 19.213
```

Results
* mass density: 4.40 g/cm³
* M_tot: 0.000 μB/atom

***

Run two
# Sr2NiI

Crystalline Sr2NiI at its relaxed geometry (PBE-GGA, Alexandria).

```
4
Lattice="0.000 3.971 3.971 3.971 0.000 3.971 3.971 3.971 0.000" Properties=species:S:1:pos:R:3 pbc="T T T"
Sr 1.985 1.985 1.985
Sr 5.956 5.956 5.956
Ni 0.000 0.000 0.000
I 3.971 3.971 3.971
```

Results
* mass density: 4.79 g/cm³
* M_tot: 0.000 μB/atom

***

run one ends up most stable, edging out the next structure by 29.0 kJ/mol of atoms.

***

Run one
# SrNi2I

Crystalline SrNi2I at its relaxed geometry (PBE-GGA, Alexandria).

```
4
Lattice="0.000 3.442 3.442 3.442 0.000 3.442 3.442 3.442 0.000" Properties=species:S:1:pos:R:3 pbc="T T T"
Sr 0.000 0.000 0.000
Ni 1.721 1.721 1.721
Ni 5.162 5.162 5.162
I 3.442 3.442 3.442
```

Results
* mass density: 6.76 g/cm³
* M_tot: 0.000 μB/atom

***

Run two
# SrNi2I

Crystalline SrNi2I at its relaxed geometry (PBE-GGA, Alexandria).

```
8
Lattice="-2.463 2.463 8.347 2.463 -2.463 8.347 2.463 2.463 -8.347" Properties=species:S:1:pos:R:3 pbc="T T T"
Sr 2.463 1.231 2.087
Sr 0.000 1.231 6.260
Ni 0.000 0.000 0.000
Ni 1.231 1.231 -4.174
Ni 1.231 -1.231 4.174
Ni 0.000 2.463 0.000
I 2.463 -1.231 6.260
I 0.000 3.694 2.087
```

Results
* mass density: 5.44 g/cm³
* M_tot: 0.000 μB/atom

***

run two ends up most stable, edging out the next structure by 28.5 kJ/mol of atoms.

***

Run one
# SrNi3I

Crystalline SrNi3I at its relaxed geometry (PBE-GGA, Alexandria).

```
5
Lattice="4.763 0.000 0.000 0.000 4.763 0.000 0.000 0.000 4.763" Properties=species:S:1:pos:R:3 pbc="T T T"
Sr 0.000 0.000 0.000
Ni 0.000 2.382 2.382
Ni 2.382 0.000 2.382
Ni 2.382 2.382 0.000
I 2.382 2.382 2.382
```

Results
* mass density: 6.00 g/cm³
* M_tot: 0.000 μB/atom

***

Run two
# SrNi3I

Crystalline SrNi3I at its relaxed geometry (PBE-GGA, Alexandria).

```
5
Lattice="4.943 0.000 0.000 0.000 4.943 0.000 0.000 0.000 4.943" Properties=species:S:1:pos:R:3 pbc="T T T"
Sr 0.000 0.000 0.000
Ni 0.000 0.000 2.472
Ni 0.000 2.472 0.000
Ni 2.472 0.000 0.000
I 2.472 2.472 2.472
```

Results
* mass density: 5.37 g/cm³
* M_tot: 0.050 μB/atom

***

run one ends up most stable, edging out the next structure by 105.3 kJ/mol of atoms.

***

Run one
# TaNi2I

Crystalline TaNi2I at its relaxed geometry (PBE-GGA, Alexandria).

```
8
Lattice="-3.170 3.170 4.179 3.170 -3.170 4.179 3.170 3.170 -4.179" Properties=species:S:1:pos:R:3 pbc="T T T"
Ta 0.000 0.000 0.000
Ta 0.000 3.170 2.089
Ni 1.585 1.462 -1.045
Ni 1.708 -1.585 5.223
Ni 1.585 1.708 3.134
Ni 1.462 4.755 1.045
I 3.170 0.000 2.089
I 0.000 0.000 4.179
```

Results
* mass density: 8.41 g/cm³
* M_tot: 0.000 μB/atom

***

Run two
# TaNi2I

Crystalline TaNi2I at its relaxed geometry (PBE-GGA, Alexandria).

```
4
Lattice="0.000 3.197 3.197 3.197 0.000 3.197 3.197 3.197 0.000" Properties=species:S:1:pos:R:3 pbc="T T T"
Ta 0.000 0.000 0.000
Ni 1.599 1.599 1.599
Ni 4.796 4.796 4.796
I 3.197 3.197 3.197
```

Results
* mass density: 10.80 g/cm³
* M_tot: 0.000 μB/atom

***

run one ends up most stable, edging out the next structure by 6.4 kJ/mol of atoms.